VASP calculation (PBE-GGA) on a relaxed structure of TaPb5.

## Properties
magnetic moment = 0.0 Bohr magnetons per cell
polymorph energy (0 for the lowest one) = 120 meV per atom
energy relative to the elements = 0.42 eV/atom

```
TaPb5
1.0
2.0309 -8.3423 0.0000
2.0309 8.3423 0.0000
0.0000 0.0000 5.0394
Ta Pb
1 5
Direct
0.5000 0.5000 0.0000 Ta
0.3385 0.6615 0.5000 Pb
0.0000 0.0000 0.5000 Pb
0.1410 0.8590 0.0000 Pb
0.8590 0.1410 0.0000 Pb
0.6615 0.3385 0.5000 Pb
```

=====

VASP calculation (PBE-GGA) on a relaxed structure of Re3NiMo.

## Properties
magnetic moment = 0.0 Bohr magnetons per cell
polymorph energy (0 for the lowest one) = 0 meV per atom
energy relative to the elements = 1.68 eV/atom

```
Re3NiMo
1.0
-3.0847 1.9157 -2.4476
-1.8255 -3.9076 -0.7577
-2.5156 0.4866 3.5512
Re Ni Mo
3 1 1
Direct
0.5000 0.0000 0.0000 Re
0.0000 0.0000 0.5000 Re
0.0000 0.5000 0.0000 Re
0.0000 0.0000 0.0000 Ni
0.5000 0.5000 0.5000 Mo
```

=====

VASP calculation (PBE-GGA) on a relaxed structure of CaBiPt.

## Properties
magnetic moment = 0.0 Bohr magnetons per cell
energy relative to the elements = -0.50 eV/atom

```
CaBiPt
1.0
3.5945 0.0000 0.0000
0.0000 3.5945 0.0000
-1.7973 -1.7973 5.8201
Pt Bi Ca
1 1 1
Direct
0.2764 0.2764 0.5528 Pt
0.6467 0.6467 0.2933 Bi
0.9269 0.9269 0.8539 Ca
```

=====

VASP calculation (PBE-GGA) on a relaxed structure of YCoAsBr2.

## Properties
magnetic moment = 0.6 Bohr magnetons per cell
polymorph energy (0 for the lowest one) = 0 meV per atom
formation energy without anion corrections = -0.280 eV per atom

```
YCoAsBr2
1.0
4.7353 0.0000 0.0000
0.0000 4.7353 0.0000
0.0000 0.0000 4.9798
Co As Br Y
1 1 2 1
Direct
0.0000 0.0000 0.0000 Co
0.0000 0.0000 0.5000 As
0.0000 0.5000 0.0000 Br
0.5000 0.0000 0.0000 Br
0.5000 0.5000 0.5000 Y
```

=====

VASP calculation (PBE-GGA) on a relaxed structure of NbAg3Pb.

## Properties
magnetic moment = 3.8 Bohr magnetons per cell
polymorph energy (0 for the lowest one) = 116 meV per atom
energy relative to the elements = 1.32 eV/atom

```
NbAg3Pb
1.0
5.2140 0.0000 0.0000
0.0000 5.2140 0.0000
0.0000 0.0000 5.2140
Pb Ag Nb
1 3 1
Direct
0.0000 0.0000 0.0000 Pb
0.5000 0.0000 0.0000 Ag
0.0000 0.0000 0.5000 Ag
0.0000 0.5000 0.0000 Ag
0.5000 0.5000 0.5000 Nb
```

=====

VASP calculation (PBE-GGA) on a relaxed structure of Tb2DyMnSe6.

## Properties
magnetic moment = 4.0 Bohr magnetons per cell
formation energy without anion corrections = -1.420 eV per atom

```
Tb2DyMnSe6
1.0
7.0554 -0.0066 0.0031
3.5220 6.1045 0.0058
3.5281 2.0373 6.3082
Tb Se Mn Dy
2 6 1 1
Direct
0.5186 0.5188 0.4437 Tb
0.0160 0.0163 0.9509 Tb
0.9522 0.5829 0.2501 Se
0.4273 0.6953 0.7679 Se
0.6954 0.1095 0.7674 Se
0.5835 0.2147 0.2498 Se
0.1093 0.4277 0.7675 Se
0.2152 0.9526 0.2492 Se
0.3237 0.3237 0.0293 Mn
0.8204 0.8202 0.5394 Dy
```

=====

VASP calculation (PBE-GGA) on a relaxed structure of K2DyScTe4.

## Properties
magnetic moment = 0.0 Bohr magnetons per cell
formation energy without anion corrections = -1.319 eV per atom

```
K2DyScTe4
1.0
-0.9875 -2.5409 -3.4593
-3.2931 -5.0652 4.6605
-6.0858 5.5995 -2.3756
Dy K Te Sc
1 2 4 1
Direct
0.5000 0.5000 0.0000 Dy
0.0000 0.5000 0.5000 K
0.5000 0.0000 0.5000 K
0.0000 0.2546 0.7942 Te
0.0000 0.7454 0.2058 Te
0.5000 0.7765 0.7998 Te
0.5000 0.2235 0.2002 Te
0.0000 0.0000 0.0000 Sc
```

=====

VASP calculation (PBE-GGA) on a relaxed structure of SmNiBRh2.

## Properties
magnetic moment = 0.0 Bohr magnetons per cell
energy relative to the elements = -0.66 eV/atom

```
SmNiBRh2
1.0
-3.2323 -0.3031 2.4209
-0.9239 -3.7759 -1.7062
2.3849 -1.9141 2.9446
Sm B Rh Ni
1 1 2 1
Direct
0.5000 0.5000 0.5000 Sm
0.0000 0.0000 0.0000 B
0.0000 0.5000 0.0000 Rh
0.0000 0.0000 0.5000 Rh
0.5000 0.0000 0.0000 Ni
```